No. 1
Below is an optimized crystal structure of Pr3GaI2, with properties calculated at the GGA-PBE level.

Its total energy is -3.97 eV per atom. The calculation puts the energy relative to the elements, uncorrected at -0.560 eV/atom. As for the density of states at the Fermi level: 20.32 states/eV per cell. The total magnetization comes out at 0.000 μB per atom.

The space group is Cmcm (No. 63) and the conventional cell measures 13.2428, 10.7717 and 6.2001 Å, with angles of 90.00, 90.00 and 90.00 degrees. The inequivalent atoms are Pr at (0.0000, 0.1308, 0.2500), Pr at (0.1718, 0.3159, 0.7500), Ga at (0.0000, 0.1491, 0.7500) and I at (0.1481, 0.3765, 0.2500).

---

No. 2
Below is an optimized crystal structure of KTl2Sb, with properties calculated at the GGA-PBE level.

Its total energy is -2.53 eV per atom. The calculation puts the energy relative to the elements, uncorrected at -0.041 eV/atom. As for the density of states at the Fermi level: 3.50 states/eV per cell. The total magnetization comes out at 0.000 μB per atom.

The space group is Cmmm (No. 65) and the conventional cell measures 6.8475, 11.4039 and 3.3414 Å, with angles of 90.00, 90.00 and 90.00 degrees. The inequivalent atoms are K at (0.0000, 0.0000, 0.0000), Tl at (0.2500, 0.2500, 0.5000) and Sb at (0.0000, 0.5000, 0.0000).

---

No. 3
Below is an optimized crystal structure of MoH2Os2, with properties calculated at the GGA-PBE level.

Its total energy is -7.59 eV per atom. As for the density of states at the Fermi level: 5.95 states/eV per cell. Its excess energy over the best structure of this formula in the dataset is 0 meV/atom. The total magnetization comes out at 0.000 μB per atom.

The space group is P4/mbm (No. 127) and the conventional cell measures 6.0632, 6.0632 and 2.8569 Å, with angles of 90.00, 90.00 and 90.00 degrees. The inequivalent atoms are Mo at (0.0000, 0.0000, 0.0000), H at (0.2208, 0.2792, 0.0000) and Os at (0.1434, 0.6434, 0.5000).

---

No. 4
Below is an optimized crystal structure of Rb4BaSr, with properties calculated at the GGA-PBE level.

The energy relative to the elements comes out at 0.183 eV/atom. Its total energy is -1.06 eV per atom. As for the density of states at the Fermi level: 33.91 states/eV per cell. The total magnetization comes out at 0.000 μB per atom.

The space group is F-43m (No. 216) and the conventional cell measures 12.1871, 12.1871 and 12.1871 Å, with angles of 90.00, 90.00 and 90.00 degrees. The inequivalent atoms are Rb at (0.1248, 0.1248, 0.1248), Ba at (0.0000, 0.0000, 0.5000) and Sr at (0.2500, 0.2500, 0.7500).

---

No. 5
Below is an optimized crystal structure of KLaSiBi2, with properties calculated at the GGA-PBE level.

Its total energy is -2.96 eV per atom. The calculation puts the energy relative to the elements, uncorrected at 0.883 eV/atom. As for the density of states at the Fermi level: 7.19 states/eV per cell. The total magnetization comes out at 0.268 μB per atom.

The space group is P4/mmm (No. 123) and the conventional cell measures 6.1225, 6.1225 and 6.7071 Å, with angles of 90.00, 90.00 and 90.00 degrees. The inequivalent atoms are K at (0.0000, 0.0000, 0.0000), La at (0.0000, 0.0000, 0.5000), Si at (0.5000, 0.5000, 0.0000) and Bi at (0.0000, 0.5000, 0.5000).

---

No. 6
Below is an optimized crystal structure of Nd3Ag5Br12, with properties calculated at the GGA-PBE level.

Its total energy is -3.36 eV per atom. The calculation puts the energy relative to the elements, uncorrected at -0.932 eV/atom. As for the density of states at the Fermi level: 83.05 states/eV per cell. The total magnetization comes out at 0.099 μB per atom.

The space group is Ia-3d (No. 230) and the conventional cell measures 17.0017, 17.0017 and 17.0017 Å, with angles of 90.00, 90.00 and 90.00 degrees. The inequivalent atoms are Nd at (0.0000, 0.2500, 0.1250), Ag at (0.0000, 0.0000, 0.0000), Ag at (0.0000, 0.2500, 0.3750) and Br at (0.0221, 0.0687, 0.6532).

---

No. 7
Below is an optimized crystal structure of PmPrBr4, with properties calculated at the GGA-PBE level.

Its total energy is -4.36 eV per atom. The calculation puts the energy relative to the elements, uncorrected at -1.656 eV/atom. As for the density of states at the Fermi level: 6.00 states/eV per cell. Its excess energy over the best structure of this formula in the dataset is 0 meV/atom. The total magnetization comes out at 0.000 μB per atom.

The space group is C2/m (No. 12) and the conventional cell measures 16.6351, 4.0192 and 6.9470 Å, with angles of 90.00, 114.28 and 90.00 degrees. The inequivalent atoms are Pm at (0.0000, 0.0000, 0.0000), Pr at (0.0000, 0.5000, 0.5000), Br at (0.1235, 0.5000, 0.9605) and Br at (0.1255, 0.0000, 0.4515).

---

No. 8
Below is an optimized crystal structure of CuOs2Cl, with properties calculated at the GGA-PBE level.

Its total energy is -6.08 eV per atom. The calculation puts the energy relative to the elements, uncorrected at 1.024 eV/atom. As for the density of states at the Fermi level: 4.10 states/eV per cell. Its excess energy over the best structure of this formula in the dataset is 675 meV/atom. The total magnetization comes out at 0.000 μB per atom.

The space group is Pmmm (No. 47) and the conventional cell measures 2.7109, 4.5692 and 4.7703 Å, with angles of 90.00, 90.00 and 90.00 degrees. The inequivalent atoms are Cu at (0.0000, 0.0000, 0.0000), Os at (0.0000, 0.5000, 0.5000), Os at (0.5000, 0.5000, 0.0000) and Cl at (0.5000, 0.0000, 0.5000).

---

No. 9
Below is an optimized crystal structure of KSc2Hg, with properties calculated at the GGA-PBE level.

The energy relative to the elements comes out at 0.364 eV/atom. Its total energy is -3.15 eV per atom. As for the density of states at the Fermi level: 4.85 states/eV per cell. The total magnetization comes out at 0.241 μB per atom.

The space group is P4/mmm (No. 123) and the conventional cell measures 4.6177, 4.6177 and 5.0990 Å, with angles of 90.00, 90.00 and 90.00 degrees. The inequivalent atoms are K at (0.0000, 0.0000, 0.0000), Sc at (0.0000, 0.5000, 0.5000) and Hg at (0.5000, 0.5000, 0.0000).

---

No. 10
Below is an optimized crystal structure of LaZr2Ni2, with properties calculated at the GGA-PBE level.

The energy relative to the elements comes out at -0.232 eV/atom. Its total energy is -6.95 eV per atom. As for the density of states at the Fermi level: 9.34 states/eV per cell. Its excess energy over the best structure of this formula in the dataset is 0 meV/atom. The total magnetization comes out at 0.000 μB per atom.

The space group is I4/mmm (No. 139) and the conventional cell measures 4.5341, 4.5341 and 10.3417 Å, with angles of 90.00, 90.00 and 90.00 degrees. The inequivalent atoms are La at (0.0000, 0.0000, 0.0000), Zr at (0.0000, 0.5000, 0.2500) and Ni at (0.0000, 0.0000, 0.3813).

---

No. 11
Below is an optimized crystal structure of PuSc2Au3, with properties calculated at the GGA-PBE level.

The energy relative to the elements comes out at -0.681 eV/atom. Its total energy is -6.82 eV per atom. As for the density of states at the Fermi level: 10.64 states/eV per cell. The total magnetization comes out at 0.955 μB per atom.

The space group is P4/mmm (No. 123) and the conventional cell measures 3.4150, 3.4150 and 10.7839 Å, with angles of 90.00, 90.00 and 90.00 degrees. The inequivalent atoms are Pu at (0.0000, 0.0000, 0.0000), Sc at (0.0000, 0.0000, 0.3421), Au at (0.5000, 0.5000, 0.1972) and Au at (0.5000, 0.5000, 0.5000).

---

No. 12
Below is an optimized crystal structure of ZnIO2, with properties calculated at the GGA-PBE level.

Its total energy is -3.06 eV per atom. The calculation puts the energy relative to the elements, uncorrected at 0.129 eV/atom. As for the density of states at the Fermi level: 4.91 states/eV per cell. Its excess energy over the best structure of this formula in the dataset is 796 meV/atom. The total magnetization comes out at 0.000 μB per atom.

The space group is R-3m (No. 166, hexagonal axes) and the conventional cell measures 3.2275, 3.2275 and 21.3192 Å, with angles of 90.00, 90.00 and 120.00 degrees. The inequivalent atoms are Zn at (0.0000, 0.0000, 0.0000), I at (0.0000, 0.0000, 0.5000) and O at (0.0000, 0.0000, 0.0841).

---

No. 13
Below is an optimized crystal structure of Ba2IrCl, with properties calculated at the GGA-PBE level.

Its total energy is -3.79 eV per atom. The calculation puts the energy relative to the elements, uncorrected at -0.152 eV/atom. Its excess energy over the best structure of this formula in the dataset is 804 meV/atom. The total magnetization comes out at 0.000 μB per atom.

The space group is F-43m (No. 216) and the conventional cell measures 7.6746, 7.6746 and 7.6746 Å, with angles of 90.00, 90.00 and 90.00 degrees. The inequivalent atoms are Ba at (0.0000, 0.0000, 0.0000), Ba at (0.2500, 0.2500, 0.2500), Ir at (0.0000, 0.0000, 0.5000) and Cl at (0.2500, 0.2500, 0.7500).

---

No. 14
Below is an optimized crystal structure of TaNb3Au, with properties calculated at the GGA-PBE level.

The energy relative to the elements comes out at 1.421 eV/atom. Its total energy is -7.65 eV per atom. As for the density of states at the Fermi level: 5.88 states/eV per cell. Its excess energy over the best structure of this formula in the dataset is 1213 meV/atom. The total magnetization comes out at 0.000 μB per atom.

The space group is Pm-3m (No. 221) and the conventional cell measures 4.8659, 4.8659 and 4.8659 Å, with angles of 90.00, 90.00 and 90.00 degrees. The inequivalent atoms are Ta at (0.0000, 0.0000, 0.0000), Nb at (0.0000, 0.0000, 0.5000) and Au at (0.5000, 0.5000, 0.5000).

---

No. 15
Below is an optimized crystal structure of Rb2ReI7, with properties calculated at the GGA-PBE level.

Its total energy is -2.98 eV per atom. The calculation puts the energy relative to the elements, uncorrected at -0.459 eV/atom. As for the density of states at the Fermi level: 11.27 states/eV per cell. The total magnetization comes out at 0.318 μB per atom.

The space group is I4/mmm (No. 139) and the conventional cell measures 8.6413, 8.6413 and 12.9395 Å, with angles of 90.00, 90.00 and 90.00 degrees. The inequivalent atoms are Rb at (0.0000, 0.5000, 0.2500), Re at (0.0000, 0.0000, 0.0000), I at (0.0000, 0.0000, 0.2116), I at (0.0000, 0.0000, 0.5000) and I at (0.2264, 0.2264, 0.0000).

---

No. 16
Below is an optimized crystal structure of MgTcHg2N, with properties calculated at the GGA-PBE level.

Its total energy is -3.32 eV per atom. The calculation puts the energy relative to the elements, uncorrected at 0.860 eV/atom. As for the density of states at the Fermi level: 3.36 states/eV per cell. The total magnetization comes out at 0.427 μB per atom.

The space group is P4/mmm (No. 123) and the conventional cell measures 4.8176, 4.8176 and 3.8740 Å, with angles of 90.00, 90.00 and 90.00 degrees. The inequivalent atoms are Mg at (0.0000, 0.0000, 0.0000), Tc at (0.5000, 0.5000, 0.0000), Hg at (0.0000, 0.5000, 0.5000) and N at (0.0000, 0.0000, 0.5000).

---

No. 17
Below is an optimized crystal structure of SrMnCr2, with properties calculated at the GGA-PBE level.

The energy relative to the elements comes out at 0.705 eV/atom. Its total energy is -6.82 eV per atom. As for the density of states at the Fermi level: 4.41 states/eV per cell. Its excess energy over the best structure of this formula in the dataset is 150 meV/atom. The total magnetization comes out at 0.240 μB per atom.

The space group is P4/mmm (No. 123) and the conventional cell measures 3.2665, 3.2665 and 7.0214 Å, with angles of 90.00, 90.00 and 90.00 degrees. The inequivalent atoms are Sr at (0.0000, 0.0000, 0.0000), Mn at (0.0000, 0.0000, 0.5000) and Cr at (0.5000, 0.5000, 0.3603).

---

No. 18
Below is an optimized crystal structure of Ba3GeBi3, with properties calculated at the GGA-PBE level.

The energy relative to the elements comes out at -0.684 eV/atom. Its total energy is -3.83 eV per atom. As for the density of states at the Fermi level: 27.72 states/eV per cell. The total magnetization comes out at 0.000 μB per atom.

The space group is Cmce (No. 64) and the conventional cell measures 21.8960, 7.4085 and 14.5487 Å, with angles of 90.00, 90.00 and 90.00 degrees. The inequivalent atoms are Ba at (0.0000, 0.2010, 0.1370), Ba at (0.1723, 0.1989, 0.8734), Ge at (0.0855, 0.0000, 0.5000), Bi at (0.0000, 0.2130, 0.3848) and Bi at (0.1623, 0.2051, 0.6237).

---

No. 19
Below is an optimized crystal structure of As3AuS, with properties calculated at the GGA-PBE level.

Its total energy is -3.16 eV per atom. The calculation puts the energy relative to the elements, uncorrected at 1.108 eV/atom. As for the density of states at the Fermi level: 6.90 states/eV per cell. Its excess energy over the best structure of this formula in the dataset is 277 meV/atom. The total magnetization comes out at 0.000 μB per atom.

The space group is Pm-3m (No. 221) and the conventional cell measures 5.0217, 5.0217 and 5.0217 Å, with angles of 90.00, 90.00 and 90.00 degrees. The inequivalent atoms are As at (0.0000, 0.0000, 0.5000), Au at (0.0000, 0.0000, 0.0000) and S at (0.5000, 0.5000, 0.5000).

---

No. 20
Below is an optimized crystal structure of Y2Cr2Hg, with properties calculated at the GGA-PBE level.

The energy relative to the elements comes out at 0.797 eV/atom. Its total energy is -5.70 eV per atom. As for the density of states at the Fermi level: 10.93 states/eV per cell. Its excess energy over the best structure of this formula in the dataset is 656 meV/atom. The total magnetization comes out at 0.000 μB per atom.

The space group is I4/mmm (No. 139) and the conventional cell measures 4.7353, 4.7353 and 10.8249 Å, with angles of 90.00, 90.00 and 90.00 degrees. The inequivalent atoms are Y at (0.0000, 0.5000, 0.2500), Cr at (0.0000, 0.0000, 0.0813) and Hg at (0.0000, 0.0000, 0.5000).